VASP calculation (PBE) on a geometry-optimized ThMg2In2Au2 structure.

a = 8.826 Å, b = 8.826 Å, c = 8.826 Å
α = 30.66°, β = 30.66°, γ = 30.66°
Sites, in units of the cell vectors:
Th: 0.000 0.000 0.000
Mg: 0.138 0.138 0.138
Mg: 0.862 0.862 0.862
In: 0.263 0.263 0.263
In: 0.737 0.737 0.737
Au: 0.438 0.438 0.438
Au: 0.562 0.562 0.562

## Properties
Mass density, g cm⁻³: 9.5
Electronic total energy, eV/atom: -3.5947
M_tot, μB per formula unit: 0.00
ΔH_f (0 K), eV/atom: -0.360